VASP calculation (PBE) on an optimized crystal structure of ReIrOs2.

Space-group type: C2/m, No. 12
Excess energy over the best structure of this formula in the dataset: 11.5 kJ per mole of atoms
Formation energy: 0.005 eV/atom

a b c (Å): 4.717 4.717 4.727
angles (deg): 131.37 131.37 71.18
Fractional positions:
1 Ir 0.250 0.750 0.500
2 Os 0.000 0.000 0.000
3 Os 0.500 0.500 0.000
4 Re 0.750 0.250 0.500

=====

VASP calculation (PBE) on an optimized crystal structure of TlIr2Au.

Space-group type: P2/m, No. 10
Excess energy over the best structure of this formula in the dataset: 13.9 kJ per mole of atoms
Formation energy: 0.530 eV/atom

a b c (Å): 4.769 2.928 5.019
angles (deg): 89.72 90.00 90.00
Fractional positions:
1 Au 0.500 0.750 0.750
2 Ir 0.000 0.999 0.983
3 Ir 0.000 0.501 0.517
4 Tl 0.500 0.250 0.250

=====

VASP calculation (PBE) on an optimized crystal structure of Tl2AsOs.

Space-group type: Pmmm, No. 47
Excess energy over the best structure of this formula in the dataset: 53.5 kJ per mole of atoms
Formation energy: 0.813 eV/atom

a b c (Å): 3.214 3.128 8.687
angles (deg): 90.04 90.00 90.00
Fractional positions:
1 Tl 0.000 0.251 0.958
2 Tl 0.000 0.249 0.542
3 Os 0.500 0.750 0.750
4 As 0.500 0.250 0.250

=====

VASP calculation (PBE) on an optimized crystal structure of Zr2CoPt.

Space-group type: P4mm, No. 99
Formation energy: -0.455 eV/atom

a b c (Å): 3.667 3.667 5.661
angles (deg): 90.00 90.00 90.00
Fractional positions:
1 Co 0.000 0.000 0.415
2 Pt 0.500 0.500 0.803
3 Zr 0.000 0.000 0.956
4 Zr 0.500 0.500 0.325

=====

VASP calculation (PBE) on an optimized crystal structure of PmB3Pt9.

Space-group type: P6/mmm, No. 191
Formation energy: -0.257 eV/atom

a b c (Å): 4.114 7.911 7.911
angles (deg): 120.00 90.00 90.00
Fractional positions:
1 Pm 0.000 0.000 0.000
2 B 0.500 0.000 0.500
3 B 0.500 0.500 0.000
4 B 0.500 0.500 0.500
5 Pt 0.000 0.000 0.500
6 Pt 0.500 0.199 0.399
7 Pt 0.500 0.199 0.801
8 Pt 0.500 0.601 0.801
9 Pt 0.000 0.500 0.000
10 Pt 0.500 0.399 0.199
11 Pt 0.000 0.500 0.500
12 Pt 0.500 0.801 0.199
13 Pt 0.500 0.801 0.601

=====

VASP calculation (PBE) on an optimized crystal structure of LaSiGeRh3.

Space-group type: Cmcm, No. 63
Energy relative to the elements, uncorrected: -0.79 eV/atom

a b c (Å): 5.755 5.766 7.829
angles (deg): 111.61 90.00 90.00
Fractional positions:
1 La 0.750 0.264 0.528
2 La 0.250 0.736 0.472
3 Si 0.250 0.418 0.836
4 Si 0.750 0.582 0.164
5 Ge 0.250 0.091 0.182
6 Ge 0.750 0.909 0.818
7 Rh 0.250 0.258 0.515
8 Rh 0.000 0.253 0.000
9 Rh 0.500 0.747 0.000
10 Rh 0.500 0.253 0.000
11 Rh 0.000 0.747 0.000
12 Rh 0.750 0.742 0.485

=====

VASP calculation (PBE) on an optimized crystal structure of Te2RhI.

Space-group type: P3m1, No. 156
Energy relative to the elements, uncorrected: -0.26 eV/atom

a b c (Å): 4.136 4.136 8.208
angles (deg): 90.00 90.00 120.00
Fractional positions:
1 I 0.333 0.667 0.495
2 Te 0.333 0.667 0.842
3 Te 0.667 0.333 0.143
4 Rh 0.000 0.000 0.975

=====

VASP calculation (PBE) on an optimized crystal structure of LaSbPb2.

Space-group type: I-4m2, No. 119
Energy relative to the elements, uncorrected: -0.45 eV/atom

a b c (Å): 6.034 6.034 6.034
angles (deg): 131.46 131.46 71.09
Fractional positions:
1 La 0.750 0.250 0.500
2 Pb 0.000 0.000 0.000
3 Pb 0.250 0.750 0.500
4 Sb 0.500 0.500 0.000

=====

VASP calculation (PBE) on an optimized crystal structure of Tb4Tl3H.

Space-group type: P2_1/m, No. 11

a b c (Å): 6.150 8.911 8.225
angles (deg): 90.00 90.00 91.10
Fractional positions:
1 Tb 0.170 0.904 0.000
2 Tb 0.425 0.315 0.000
3 Tb 0.936 0.229 0.228
4 Tb 0.693 0.771 0.272
5 Tb 0.204 0.685 0.500
6 Tb 0.459 0.096 0.500
7 Tb 0.693 0.771 0.728
8 Tb 0.936 0.229 0.772
9 Tl 0.656 0.011 0.000
10 Tl 0.089 0.564 0.175
11 Tl 0.540 0.435 0.325
12 Tl 0.972 0.989 0.500
13 Tl 0.540 0.435 0.675
14 Tl 0.089 0.564 0.825
15 H 0.134 0.162 0.000
16 H 0.495 0.838 0.500

=====

VASP calculation (PBE) on an optimized crystal structure of PbW.

Space-group type: P6_3/mmc, No. 194
Excess energy over the best structure of this formula in the dataset: 40.6 kJ per mole of atoms
Formation energy: 0.915 eV/atom

a b c (Å): 4.285 4.285 13.710
angles (deg): 90.00 90.00 120.00
Fractional positions:
1 Pb 0.333 0.667 0.101
2 Pb 0.667 0.333 0.601
3 Pb 0.667 0.333 0.899
4 Pb 0.333 0.667 0.399
5 W 0.000 0.000 0.250
6 W 0.000 0.000 0.750
7 W 0.333 0.667 0.750
8 W 0.667 0.333 0.250

=====

VASP calculation (PBE) on an optimized crystal structure of Ce3HoTm2S6.

Space-group type: C2/m, No. 12
Energy relative to the elements, uncorrected: -2.01 eV/atom

a b c (Å): 6.773 6.773 6.924
angles (deg): 99.39 99.39 120.04
Each line ends with the local moment (μB).
Fractional positions:
1 Ce 0.166 0.834 0.500  0.69
2 Ce 0.834 0.166 0.500  0.69
3 Ce 0.500 0.500 0.500  0.69
4 Ho 0.000 0.000 0.000  -0.01
5 Tm 0.333 0.667 0.000  -0.01
6 Tm 0.667 0.333 0.000  -0.01
7 S 0.922 0.586 0.766  -0.01
8 S 0.742 0.742 0.233  -0.01
9 S 0.078 0.414 0.234  -0.01
10 S 0.586 0.922 0.766  -0.01
11 S 0.258 0.258 0.767  -0.01
12 S 0.414 0.078 0.234  -0.01

=====

VASP calculation (PBE) on an optimized crystal structure of LiVSe3.

Space-group type: P2_1/c, No. 14
Excess energy over the best structure of this formula in the dataset: 14.3 kJ per mole of atoms
Energy relative to the elements, uncorrected: -0.60 eV/atom

a b c (Å): 19.664 6.691 7.692
angles (deg): 90.00 155.99 90.00
Fractional positions:
1 V 0.110 0.334 0.566
2 V 0.890 0.666 0.434
3 V 0.390 0.834 0.934
4 V 0.610 0.166 0.066
5 Se 0.245 0.975 0.830
6 Se 0.755 0.025 0.170
7 Se 0.255 0.475 0.670
8 Se 0.745 0.525 0.330
9 Se 0.374 0.332 0.390
10 Se 0.626 0.668 0.610
11 Se 0.126 0.832 0.110
12 Se 0.874 0.168 0.890
13 Se 0.514 0.828 0.913
14 Se 0.486 0.172 0.087
15 Se 0.986 0.328 0.587
16 Se 0.014 0.672 0.413
17 Li 0.408 0.697 0.368
18 Li 0.592 0.303 0.632
19 Li 0.092 0.197 0.132
20 Li 0.908 0.803 0.868

=====

VASP calculation (PBE) on an optimized crystal structure of ZrPtW2.

Space-group type: Cmmm, No. 65
Excess energy over the best structure of this formula in the dataset: 26.7 kJ per mole of atoms
Formation energy: 0.106 eV/atom

a b c (Å): 5.268 5.268 2.754
angles (deg): 90.00 90.00 115.63
Fractional positions:
1 Pt 0.000 0.500 0.500
2 W 0.000 0.000 0.000
3 W 0.500 0.500 0.000
4 Zr 0.500 0.000 0.500

=====

Number 1: DFT total energy -10.937 eV per atom, theoretical density 21.73 g cm⁻³. Number 2: DFT total energy -5.312 eV per atom, theoretical density 18.62 g cm⁻³. Number 3: DFT total energy -4.340 eV per atom, theoretical density 12.81 g cm⁻³. Number 4: DFT total energy -8.016 eV per atom, theoretical density 9.52 g cm⁻³. Number 5: DFT total energy -6.346 eV per atom, theoretical density 14.40 g cm⁻³. Number 6: DFT total energy -6.964 eV per atom, theoretical density 7.54 g cm⁻³. Number 7: DFT total energy -4.055 eV per atom, theoretical density 6.62 g cm⁻³. Number 8: DFT total energy -4.569 eV per atom, theoretical density 9.28 g cm⁻³. Number 9: DFT total energy -3.822 eV per atom, theoretical density 9.21 g cm⁻³. Number 10: DFT total energy -7.415 eV per atom, theoretical density 11.91 g cm⁻³. Number 11: DFT total energy -6.685 eV per atom, theoretical density 7.13 g cm⁻³. Number 12: DFT total energy -4.893 eV per atom, theoretical density 4.75 g cm⁻³. Number 13: DFT total energy -10.018 eV per atom, theoretical density 15.76 g cm⁻³.